No. 1
Material: Sr3Sb5S12
Method: DFT, GGA-PBE
State: optimized geometry

Cell: 14.302 14.302 14.302 Å, 109.47 109.47 109.47°
Fractional coordinates of all 80 atoms:
Sr (0.125, 0.250, 0.375)
Sr (0.125, 0.375, 0.750)
Sr (0.250, 0.375, 0.125)
Sr (0.250, 0.875, 0.625)
Sr (0.375, 0.125, 0.250)
Sr (0.375, 0.750, 0.125)
Sr (0.625, 0.250, 0.875)
Sr (0.625, 0.875, 0.750)
Sr (0.750, 0.125, 0.375)
Sr (0.750, 0.625, 0.875)
Sr (0.875, 0.625, 0.250)
Sr (0.875, 0.750, 0.625)
Sb (0.000, 0.000, 0.000)
Sb (0.000, 0.000, 0.500)
Sb (0.000, 0.500, 0.000)
Sb (0.000, 0.500, 0.500)
Sb (0.125, 0.750, 0.875)
Sb (0.125, 0.875, 0.250)
Sb (0.250, 0.125, 0.875)
Sb (0.250, 0.625, 0.375)
Sb (0.375, 0.250, 0.625)
Sb (0.375, 0.625, 0.750)
Sb (0.500, 0.000, 0.000)
Sb (0.500, 0.000, 0.500)
Sb (0.500, 0.500, 0.000)
Sb (0.500, 0.500, 0.500)
Sb (0.625, 0.375, 0.250)
Sb (0.625, 0.750, 0.375)
Sb (0.750, 0.375, 0.625)
Sb (0.750, 0.875, 0.125)
Sb (0.875, 0.125, 0.750)
Sb (0.875, 0.250, 0.125)
S (0.033, 0.210, 0.126)
S (0.033, 0.323, 0.907)
S (0.083, 0.710, 0.677)
S (0.083, 0.874, 0.407)
S (0.093, 0.626, 0.417)
S (0.093, 0.967, 0.677)
S (0.126, 0.033, 0.210)
S (0.126, 0.593, 0.917)
S (0.177, 0.210, 0.583)
S (0.177, 0.467, 0.593)
S (0.210, 0.126, 0.033)
S (0.210, 0.583, 0.177)
S (0.290, 0.323, 0.917)
S (0.290, 0.467, 0.374)
S (0.323, 0.907, 0.033)
S (0.323, 0.917, 0.290)
S (0.374, 0.290, 0.467)
S (0.374, 0.583, 0.907)
S (0.407, 0.083, 0.874)
S (0.407, 0.823, 0.533)
S (0.417, 0.093, 0.626)
S (0.417, 0.823, 0.790)
S (0.467, 0.374, 0.290)
S (0.467, 0.593, 0.177)
S (0.533, 0.407, 0.823)
S (0.533, 0.626, 0.710)
S (0.583, 0.177, 0.210)
S (0.583, 0.907, 0.374)
S (0.593, 0.177, 0.467)
S (0.593, 0.917, 0.126)
S (0.626, 0.417, 0.093)
S (0.626, 0.710, 0.533)
S (0.677, 0.083, 0.710)
S (0.677, 0.093, 0.967)
S (0.710, 0.533, 0.626)
S (0.710, 0.677, 0.083)
S (0.790, 0.417, 0.823)
S (0.790, 0.874, 0.967)
S (0.823, 0.533, 0.407)
S (0.823, 0.790, 0.417)
S (0.874, 0.407, 0.083)
S (0.874, 0.967, 0.790)
S (0.907, 0.033, 0.323)
S (0.907, 0.374, 0.583)
S (0.917, 0.126, 0.593)
S (0.917, 0.290, 0.323)
S (0.967, 0.677, 0.093)
S (0.967, 0.790, 0.874)

DFT total energy = -357.979 eV per cell
D(E_F) = 0.22 states/eV per atom
SG = Ia-3d
Magnetic moment = 0.00 Bohr magnetons per cell
Raw formation energy = -715 meV/atom

***

No. 2
Material: BeCdIn
Method: DFT, GGA-PBE
State: optimized geometry

Cell: 4.363 4.363 4.363 Å, 60.00 60.00 60.00°
Fractional coordinates of all 3 atoms:
Be (0.000, 0.000, 0.000)
Cd (0.750, 0.750, 0.750)
In (0.250, 0.250, 0.250)

DFT total energy = -6.600 eV per cell
D(E_F) = 0.57 states/eV per atom
SG = F-43m
Magnetic moment = 0.00 Bohr magnetons per cell
Polymorph energy (0 for the lowest one) = 0.00 eV per formula unit